Entry 1:
## CaTi2RuO8 (GGA-PBE)

Data for a relaxed CaTi2RuO8 crystal.

Geometry as POSCAR:
```
CaTi2RuO8
1.0
-3.073 -2.449 -2.654
2.626 0.594 -3.886
3.118 -5.318 1.288
O Ti Ru Ca
8 2 1 1
direct
0.210 0.786 0.788
0.790 0.214 0.212
0.672 0.677 0.500
0.790 0.214 0.788
0.710 0.714 0.000
0.290 0.286 0.000
0.210 0.786 0.212
0.328 0.323 0.500
0.499 0.499 0.738
0.501 0.501 0.262
0.000 0.000 0.000
0.000 0.000 0.500
```

## Properties
Calculated volume   11.8 Å³/atom
Magnetization   1.91 μB per formula unit
Formation energy without anion corrections   -214.3 kJ/mol of atoms
Calculated total energy   -93.38 eV for the cell shown
Crystal system   triclinic
DOS at the Fermi energy   0.184 states/eV/atom



Entry 2:
## PrDyZnSn (GGA-PBE)

Data for a relaxed PrDyZnSn crystal.

Geometry as POSCAR:
```
PrDyZnSn
1.0
5.289 0.000 0.000
2.644 4.580 0.000
2.644 1.527 4.318
Dy Pr Zn Sn
1 1 1 1
direct
0.500 0.500 0.500
0.000 0.000 0.000
0.750 0.750 0.750
0.250 0.250 0.250
```

## Properties
Calculated volume   26.1 Å³/atom
Magnetization   0.00 μB per formula unit
Calculated total energy   -16.67 eV for the cell shown
Energy relative to the elements   -0.502 eV/atom
Crystal system   cubic
DOS at the Fermi energy   0.542 states/eV/atom



Which of these has the highest calculated total energy?
PrDyZnSn



What did the second record say?
## PrDyZnSn (GGA-PBE)

Data for a relaxed PrDyZnSn crystal.

Geometry as POSCAR:
```
PrDyZnSn
1.0
5.289 0.000 0.000
2.644 4.580 0.000
2.644 1.527 4.318
Dy Pr Zn Sn
1 1 1 1
direct
0.500 0.500 0.500
0.000 0.000 0.000
0.750 0.750 0.750
0.250 0.250 0.250
```

## Properties
Calculated volume   26.1 Å³/atom
Magnetization   0.00 μB per formula unit
Calculated total energy   -16.67 eV for the cell shown
Energy relative to the elements   -0.502 eV/atom
Crystal system   cubic
DOS at the Fermi energy   0.542 states/eV/atom



Which value of calculated volume does entry 1 give?
11.8 Å³/atom



The lowest DOS at the Fermi energy belongs to which entry?
CaTi2RuO8